Here is crystalline K2WO6 at its relaxed geometry from Alexandria. Energies are from GGA+U.

Cell and atoms, written as CIF:
```
data_K2WO6
_cell_length_a 5.5693
_cell_length_b 5.5693
_cell_length_c 11.9022
_cell_angle_alpha 90.00
_cell_angle_beta 90.00
_cell_angle_gamma 90.00
_space_group_name_H-M_alt 'P 42/m n m'
_space_group_IT_number 136
_space_group_name_Hall '-P 4n 2n'
loop_
_atom_site_label
_atom_site_type_symbol
_atom_site_fract_x
_atom_site_fract_y
_atom_site_fract_z
K1 K 0.0000 0.0000 0.1628
W1 W 0.0000 0.0000 0.5000
O1 O 0.1594 0.1594 0.3765
O2 O 0.2461 0.7539 0.5000
```

Results
uncorrected energy: -5.44 eV/atom